# 1
DFT (GGA-PBE) results for an optimized crystal structure of PtI3.

Values from the calculation:
For the density of states at the Fermi level, the calculation gives 1.5067 states/eV per atom. The value obtained for the total energy is -7.17 eV per formula unit.

abc: 5.4026 5.4026 5.4026
angles: 60.00 60.00 60.00
Fractional positions:
I 0.0000 0.0000 0.0000
I 0.7500 0.7500 0.7500
I 0.2500 0.2500 0.2500
Pt 0.5000 0.5000 0.5000


# 2
DFT (GGA-PBE) results for an optimized crystal structure of Pt3I8.

Values from the calculation:
The calculation puts the energy above the most stable polymorph in this dataset at 0.000 eV per atom.

abc: 11.1529 11.8953 11.8953
angles: 90.00 90.00 90.00
Fractional positions:
Pt 0.4854 0.6204 0.1300
Pt 0.7646 0.8796 0.6300
Pt 0.7500 0.3778 0.6222
Pt 0.7354 0.3700 0.1204
Pt 0.5000 0.1222 0.1222
Pt 0.5146 0.1300 0.6204
Pt 0.0000 0.8778 0.8778
Pt 0.2646 0.1204 0.3700
Pt 0.9854 0.3796 0.8700
Pt 0.2354 0.6300 0.8796
Pt 0.0146 0.8700 0.3796
Pt 0.2500 0.6222 0.3778
I 0.7783 0.8774 0.4064
I 0.5233 0.8919 0.1229
I 0.4995 0.1265 0.3539
I 0.4881 0.6144 0.3528
I 0.0233 0.1081 0.8771
I 0.2619 0.1144 0.1472
I 0.9767 0.8771 0.1081
I 0.7267 0.6081 0.6229
I 0.7733 0.3771 0.3919
I 0.9995 0.8735 0.6461
I 0.0119 0.6472 0.3856
I 0.7381 0.1472 0.1144
I 0.2495 0.8539 0.3735
I 0.9717 0.3774 0.0936
I 0.7619 0.8856 0.8528
I 0.2217 0.4064 0.8774
I 0.5119 0.3528 0.6144
I 0.7505 0.3735 0.8539
I 0.9881 0.3856 0.6472
I 0.7217 0.5936 0.1226
I 0.4717 0.6226 0.9064
I 0.2267 0.3919 0.3771
I 0.5283 0.9064 0.6226
I 0.0005 0.6461 0.8735
I 0.0283 0.0936 0.3774
I 0.5005 0.3539 0.1265
I 0.2505 0.6265 0.1461
I 0.2733 0.6229 0.6081
I 0.7495 0.1461 0.6265
I 0.2381 0.8528 0.8856
I 0.2783 0.1226 0.5936
I 0.4767 0.1229 0.8919


# 3
DFT (GGA-PBE) results for an optimized crystal structure of PtI.

Values from the calculation:
For the density of states at the Fermi level, the calculation gives 0.3742 states/eV per atom. The value obtained for the total energy is -7.23 eV per formula unit.

abc: 10.2203 10.2203 4.0188
angles: 90.00 90.00 120.00
Fractional positions:
Pt 0.4608 0.4007 0.7500
Pt 0.5392 0.5993 0.2500
Pt 0.0601 0.4608 0.2500
Pt 0.5993 0.0601 0.7500
Pt 0.4007 0.9399 0.2500
Pt 0.9399 0.5392 0.7500
I 0.8100 0.6065 0.2500
I 0.2035 0.8100 0.7500
I 0.3935 0.2035 0.2500
I 0.7965 0.1900 0.2500
I 0.1900 0.3935 0.7500
I 0.6065 0.7965 0.7500


# 4
DFT (GGA-PBE) results for an optimized crystal structure of PtI3.

Values from the calculation:
For the density of states at the Fermi level, the calculation gives 0.9095 states/eV per atom. The value obtained for the total energy is -10.51 eV per formula unit.

abc: 3.7222 8.9460 7.2704
angles: 127.97 104.83 90.00
Fractional positions:
I 0.5000 0.4166 0.0000
I 0.6670 0.0836 0.3340
I 0.3330 0.7496 0.6660
Pt 0.0000 0.9168 0.0000


# 5
DFT (GGA-PBE) results for an optimized crystal structure of PtI.

Values from the calculation:
For the density of states at the Fermi level, the calculation gives 1.4167 states/eV per atom. The value obtained for the total energy is -6.84 eV per formula unit.

abc: 6.1468 6.1468 6.1468
angles: 90.00 90.00 90.00
Fractional positions:
Pt 0.0000 0.5000 0.5000
Pt 0.5000 0.5000 0.0000
Pt 0.0000 0.0000 0.0000
Pt 0.5000 0.0000 0.5000
I 0.2500 0.7500 0.7500
I 0.7500 0.7500 0.2500
I 0.7500 0.2500 0.7500
I 0.2500 0.2500 0.2500


# 6
DFT (GGA-PBE) results for an optimized crystal structure of PtI3.

Values from the calculation:
For the density of states at the Fermi level, the calculation gives 0.8733 states/eV per atom. The value obtained for the total energy is -10.06 eV per formula unit.

abc: 3.7374 7.0680 12.8477
angles: 90.00 90.00 105.33
Fractional positions:
I 0.2048 0.4097 0.2500
I 0.5598 0.1196 0.6112
I 0.5598 0.1196 0.8888
I 0.7952 0.5903 0.7500
I 0.4402 0.8804 0.1112
I 0.4402 0.8804 0.3888
Pt 0.1550 0.3100 0.7500
Pt 0.8450 0.6900 0.2500


# 7
DFT (GGA-PBE) results for an optimized crystal structure of PtI.

Values from the calculation:
For the density of states at the Fermi level, the calculation gives 0.7192 states/eV per atom. The value obtained for the total energy is -6.85 eV per formula unit.

abc: 5.4074 4.3184 13.2952
angles: 90.00 90.00 90.00
Fractional positions:
Pt 0.0000 0.8122 0.5000
Pt 0.0000 0.7739 0.8371
Pt 0.5000 0.2261 0.6629
Pt 0.5000 0.1878 0.0000
Pt 0.0000 0.7739 0.1629
Pt 0.5000 0.2261 0.3371
I 0.5000 0.5820 0.5000
I 0.5000 0.8829 0.1714
I 0.0000 0.1171 0.6714
I 0.0000 0.1171 0.3286
I 0.0000 0.4180 0.0000
I 0.5000 0.8829 0.8286


# 8
DFT (GGA-PBE) results for an optimized crystal structure of PtI.

Values from the calculation:
For the density of states at the Fermi level, the calculation gives 0.9010 states/eV per atom. The value obtained for the total energy is -6.76 eV per formula unit.

abc: 7.5621 7.5621 7.5621
angles: 90.00 90.00 90.00
Fractional positions:
Pt 0.5000 0.0000 0.2500
Pt 0.2500 0.5000 0.0000
Pt 0.5000 0.0000 0.7500
Pt 0.0000 0.7500 0.5000
Pt 0.0000 0.2500 0.5000
Pt 0.7500 0.5000 0.0000
I 0.0000 0.5000 0.2500
I 0.0000 0.5000 0.7500
I 0.5000 0.7500 0.0000
I 0.5000 0.2500 0.0000
I 0.7500 0.0000 0.5000
I 0.2500 0.0000 0.5000


# 9
DFT (GGA-PBE) results for an optimized crystal structure of PtI.

Values from the calculation:
For the density of states at the Fermi level, the calculation gives 0.3323 states/eV per atom. The value obtained for the total energy is -6.99 eV per formula unit.

abc: 9.0407 9.0407 5.5649
angles: 90.00 90.00 90.00
Fractional positions:
Pt 0.5920 0.7828 0.0000
Pt 0.7172 0.0920 0.5000
Pt 0.4080 0.2172 0.0000
Pt 0.7828 0.4080 0.0000
Pt 0.2172 0.5920 0.0000
Pt 0.0920 0.2828 0.5000
Pt 0.2828 0.9080 0.5000
Pt 0.9080 0.7172 0.5000
I 0.6328 0.8120 0.5000
I 0.1880 0.6328 0.5000
I 0.8120 0.3672 0.5000
I 0.8672 0.6880 0.0000
I 0.3120 0.8672 0.0000
I 0.3672 0.1880 0.5000
I 0.6880 0.1328 0.0000
I 0.1328 0.3120 0.0000


# 10
DFT (GGA-PBE) results for an optimized crystal structure of PtI.

Values from the calculation:
For the density of states at the Fermi level, the calculation gives 0.9423 states/eV per atom. The value obtained for the total energy is -6.78 eV per formula unit.

abc: 8.3740 8.3740 8.3740
angles: 90.00 90.00 90.00
Fractional positions:
I 0.7007 0.2993 0.2993
I 0.7993 0.7993 0.2007
I 0.2993 0.2993 0.7007
I 0.7007 0.7007 0.7007
I 0.2007 0.7993 0.7993
I 0.2993 0.7007 0.2993
I 0.2007 0.2007 0.2007
I 0.7993 0.2007 0.7993
Pt 0.6197 0.6197 0.3803
Pt 0.8803 0.1197 0.1197
Pt 0.6197 0.3803 0.6197
Pt 0.1197 0.1197 0.8803
Pt 0.3803 0.6197 0.6197
Pt 0.1197 0.8803 0.1197
Pt 0.3803 0.3803 0.3803
Pt 0.8803 0.8803 0.8803


# 11
DFT (GGA-PBE) results for an optimized crystal structure of Pt3I8.

Values from the calculation:
For the density of states at the Fermi level, the calculation gives 1.0015 states/eV per atom. The calculation puts the energy above the most stable polymorph in this dataset at 0.138 eV per atom.

abc: 8.6325 8.6325 8.6325
angles: 56.62 56.62 56.62
Fractional positions:
I 0.5868 0.1332 0.0498
I 0.0498 0.5868 0.1332
I 0.4132 0.8668 0.9502
I 0.1332 0.0498 0.5868
I 0.8668 0.9502 0.4132
I 0.3915 0.3915 0.3915
I 0.6085 0.6085 0.6085
I 0.9502 0.4132 0.8668
Pt 0.5000 0.5000 0.0000
Pt 0.5000 0.0000 0.5000
Pt 0.0000 0.5000 0.5000


# 12
DFT (GGA-PBE) results for an optimized crystal structure of PtI.

Values from the calculation:
For the density of states at the Fermi level, the calculation gives 0.5138 states/eV per atom. The value obtained for the total energy is -6.96 eV per formula unit.

abc: 9.8751 9.8751 5.2723
angles: 90.00 90.00 90.00
Fractional positions:
Pt 0.6221 0.3715 0.5000
Pt 0.9065 0.7400 0.0000
Pt 0.0935 0.2600 0.0000
Pt 0.6285 0.6221 0.5000
Pt 0.7400 0.0935 0.0000
Pt 0.3779 0.6285 0.5000
Pt 0.3715 0.3779 0.5000
Pt 0.2600 0.9065 0.0000
I 0.1600 0.6590 0.0000
I 0.8844 0.6775 0.5000
I 0.6775 0.1156 0.5000
I 0.6590 0.8400 0.0000
I 0.8400 0.3410 0.0000
I 0.3225 0.8844 0.5000
I 0.3410 0.1600 0.0000
I 0.1156 0.3225 0.5000


# 13
DFT (GGA-PBE) results for an optimized crystal structure of PuPtI6.

Values from the calculation:
For the density of states at the Fermi level, the calculation gives 0.9112 states/eV per atom. The value obtained for the total energy is -34.00 eV per formula unit.

abc: 8.0805 7.9558 7.4501
angles: 57.73 75.92 62.90
Fractional positions:
I 0.7836 0.7895 0.0000
I 0.2164 0.2105 0.0000
I 0.2795 0.8628 0.6922
I 0.2795 0.5550 0.3078
I 0.7205 0.1372 0.3078
I 0.7205 0.4450 0.6922
Pt 0.5000 0.5000 0.0000
Pu 0.0000 0.0000 0.0000


# 14
DFT (GGA-PBE) results for an optimized crystal structure of Pu2PtI.

Values from the calculation:
For the density of states at the Fermi level, the calculation gives 4.9927 states/eV per atom. The calculation puts the energy above the most stable polymorph in this dataset at 0.000 eV per atom.

abc: 4.1378 4.1378 8.3473
angles: 75.65 75.65 60.00
Fractional positions:
Pu 0.7315 0.7315 0.8055
Pu 0.2685 0.2685 0.1945
Pt 0.0000 0.0000 0.0000
I 0.5000 0.5000 0.5000


# 15
DFT (GGA-PBE) results for an optimized crystal structure of Pu7PtI12.

Values from the calculation:
For the density of states at the Fermi level, the calculation gives 3.9407 states/eV per atom. The value obtained for the total energy is -145.08 eV per formula unit.

abc: 9.8826 9.8826 9.8826
angles: 107.24 107.24 107.24
Fractional positions:
Pu 0.6821 0.8980 0.9706
Pu 0.8980 0.9706 0.6821
Pu 0.3179 0.1020 0.0294
Pu 0.1020 0.0294 0.3179
Pu 0.5000 0.5000 0.5000
Pu 0.0294 0.3179 0.1020
Pu 0.9706 0.6821 0.8980
I 0.6805 0.2323 0.0762
I 0.7677 0.9238 0.3195
I 0.0762 0.6805 0.2323
I 0.5365 0.8480 0.6147
I 0.2323 0.0762 0.6805
I 0.9238 0.3195 0.7677
I 0.1520 0.3853 0.4635
I 0.3853 0.4635 0.1520
I 0.3195 0.7677 0.9238
I 0.4635 0.1520 0.3853
I 0.6147 0.5365 0.8480
I 0.8480 0.6147 0.5365
Pt 0.0000 0.0000 0.0000


# 16
DFT (GGA-PBE) results for an optimized crystal structure of Pu2PtI.

Values from the calculation:
For the density of states at the Fermi level, the calculation gives 4.0983 states/eV per atom. The calculation puts the energy above the most stable polymorph in this dataset at 0.054 eV per atom.

abc: 3.6221 3.6221 7.8358
angles: 90.00 90.00 90.00
Fractional positions:
I 0.5000 0.5000 0.5000
Pt 0.5000 0.5000 0.0000
Pu 0.0000 0.0000 0.7907
Pu 0.0000 0.0000 0.2093


# 17
DFT (GGA-PBE) results for an optimized crystal structure of Pu4PtI5.

Values from the calculation:
For the density of states at the Fermi level, the calculation gives 4.7755 states/eV per atom. The value obtained for the total energy is -79.92 eV per formula unit.

abc: 4.1973 9.0481 9.9419
angles: 102.84 102.19 90.00
Fractional positions:
Pu 0.0009 0.7855 0.0019
Pu 0.9991 0.2145 0.9981
Pu 0.6520 0.0760 0.3040
Pu 0.3480 0.9240 0.6960
I 0.5000 0.5000 0.0000
I 0.8252 0.1778 0.6504
I 0.8322 0.6543 0.6643
I 0.1678 0.3457 0.3357
I 0.1748 0.8222 0.3496
Pt 0.5000 0.0000 0.0000


# 18
DFT (GGA-PBE) results for an optimized crystal structure of RbPtI2.

Values from the calculation:
For the density of states at the Fermi level, the calculation gives 1.2783 states/eV per atom. The calculation puts the energy above the most stable polymorph in this dataset at 0.349 eV per atom.

abc: 4.3899 4.3899 10.0793
angles: 77.42 77.42 60.00
Fractional positions:
I 0.8810 0.8810 0.3569
I 0.1190 0.1190 0.6431
Rb 0.0000 0.0000 0.0000
Pt 0.5000 0.5000 0.5000


# 19
DFT (GGA-PBE) results for an optimized crystal structure of RbPtI.

Values from the calculation:
For the density of states at the Fermi level, the calculation gives 0.1199 states/eV per atom. The calculation puts the energy above the most stable polymorph in this dataset at 0.358 eV per atom.

abc: 11.9113 7.9331 4.0990
angles: 90.00 90.00 90.00
Fractional positions:
Rb 0.2365 0.2500 0.4999
Rb 0.7635 0.7500 0.5001
Rb 0.2635 0.7500 0.9999
Rb 0.7365 0.2500 0.0001
I 0.0000 0.5000 0.0000
I 0.0000 0.0000 0.0000
I 0.5000 0.0000 0.5000
I 0.5000 0.5000 0.5000
Pt 0.0334 0.7500 0.5000
Pt 0.9666 0.2500 0.5000
Pt 0.4666 0.2500 0.0000
Pt 0.5334 0.7500 0.0000


# 20
DFT (GGA-PBE) results for an optimized crystal structure of RbPtI.

Values from the calculation:
The calculation puts the energy above the most stable polymorph in this dataset at 0.062 eV per atom.

abc: 9.6003 7.1426 5.6434
angles: 142.20 107.38 76.36
Fractional positions:
I 0.4759 0.6069 0.0973
I 0.1503 0.1071 0.9437
Pt 0.7433 0.3977 0.0254
Pt 0.8829 0.8977 0.5970
Rb 0.5966 0.0511 0.1034
Rb 0.0297 0.5512 0.8259